A relaxed NbSbH crystal, computed with PBE.

Output
The energy relative to the lowest polymorph listed for this composition is 0 meV per atom. The total energy comes out at -5.99 eV per atom. The total magnetic moment comes out at 0.000 μB per atom. The crystal system is hexagonal.

Lattice parameters (Å, degrees): 3.6543 3.6543 3.8434 90.00 90.00 120.00
Space group P-6m2 (No. 187)
Symmetry-distinct sites (fractional):
Nb: 0.0000 0.0000 0.0000 [1 per cell]
Sb: 0.3333 0.6667 0.5000 [1 per cell]
H: 0.6667 0.3333 0.0000 [1 per cell]